Here is a relaxed structure of LuFeSiNi from OQMD. Energies are from GGA-PBE.

a = 4.4061 Å, b = 4.4061 Å, c = 4.4061 Å
α = 60.00°, β = 60.00°, γ = 60.00°
Atoms (fractional coordinates):
Fe  0.7500  0.7500  0.7500
Lu  0.2500  0.2500  0.2500
Ni  0.5000  0.5000  0.5000
Si  0.0000  0.0000  0.0000

Summary:
For the total magnetization, the calculation gives 2.6 μB/f.u. The energy relative to the lowest polymorph listed for this composition is 196 meV per atom.